Entry from Alexandria via LeMat-Bulk: a relaxed structure of Pr2DyTl3Se6 (PBE-GGA).

Calculated values
The uncorrected formation energy comes out at -1.377 eV per atom. The magnetization is 0.00 μB per cell. As for the total energy: -0.1797 Ha/atom.

a b c (Å): 7.4516 7.4516 8.1441
angles (deg): 98.78 98.78 119.98
Atoms (fractional coordinates):
Pr 0.1666 0.8334 0.0000
Pr 0.8334 0.1666 0.0000
Dy 0.5000 0.5000 0.0000
Tl 0.0000 0.0000 0.5000
Tl 0.3319 0.6681 0.5000
Tl 0.6681 0.3319 0.5000
Se 0.1071 0.4304 0.7912
Se 0.2470 0.2470 0.2109
Se 0.4304 0.1071 0.7912
Se 0.5696 0.8929 0.2088
Se 0.7530 0.7530 0.7891
Se 0.8929 0.5696 0.2088